DFT (PBE) results for a relaxed structure of SrMgCuP2O8.

Cell: 5.688 6.668 9.218 Å, 109.08 102.11 99.57°
Sites, in units of the cell vectors:
Cu: 0.643 0.854 0.545
Sr: 0.735 0.199 0.939
Sr: 0.265 0.801 0.061
O: 0.361 0.522 0.796
O: 0.639 0.478 0.204
P: 0.610 0.574 0.757
Cu: 0.357 0.146 0.455
O: 0.657 0.805 0.749
O: 0.959 0.277 0.407
O: 0.839 0.557 0.876
P: 0.158 0.971 0.701
Mg: 0.999 0.417 0.649
O: 0.622 0.933 0.354
O: 0.041 0.723 0.593
O: 0.343 0.195 0.251
O: 0.952 0.102 0.676
O: 0.381 0.596 0.406
P: 0.390 0.426 0.243
O: 0.619 0.404 0.594
O: 0.048 0.898 0.324
O: 0.378 0.067 0.646
Mg: 0.001 0.583 0.351
O: 0.161 0.443 0.124
O: 0.745 0.990 0.122
O: 0.255 0.010 0.878
P: 0.842 0.029 0.299

Output
DFT total energy: -6.771 eV/atom
ΔE_f (raw): -30.166 eV per formula unit
total magnetic moment: 0.976 μB/f.u.


DFT (PBE) results for a relaxed structure of BeZn2Re.

Cell: 4.215 2.622 4.840 Å, 76.69 90.00 90.00°
Sites, in units of the cell vectors:
Be: 0.500 0.250 0.250
Zn: 0.000 0.110 0.010
Zn: 0.000 0.390 0.490
Re: 0.500 0.750 0.750

Output
DFT total energy: -4.474 eV/atom
total magnetic moment: 0.000 μB/f.u.
formation energy from the elements: 0.207 eV per atom


DFT (PBE) results for a relaxed structure of Ho5GeS4.

Cell: 5.564 6.833 6.833 Å, 80.46 65.97 65.97°
Sites, in units of the cell vectors:
Ge: 0.001 0.000 0.000
S: 0.602 0.598 0.201
S: 0.199 0.201 0.402
Ho: 0.301 0.800 0.600
S: 0.803 0.799 0.598
S: 0.400 0.402 0.799
Ho: 0.701 0.200 0.400
Ho: 0.501 0.000 0.000
Ho: 0.901 0.400 0.800
Ho: 0.101 0.600 0.200

Output
DFT total energy: -6.204 eV/atom
ΔE_f (raw): -18.026 eV per formula unit
total magnetic moment: 0.000 μB/f.u.


DFT (PBE) results for a relaxed structure of Ta2Fe.

Cell: 3.153 6.850 4.499 Å, 90.00 90.00 76.70°
Sites, in units of the cell vectors:
Ta: 0.424 0.152 0.750
Fe: 0.083 0.835 0.750
Ta: 0.257 0.486 0.250
Ta: 0.576 0.848 0.250
Fe: 0.917 0.165 0.250
Ta: 0.743 0.514 0.750

Output
DFT total energy: -10.775 eV/atom
total magnetic moment: 0.752 μB/f.u.
formation energy from the elements: -0.053 eV per atom


DFT (PBE) results for a relaxed structure of GaW.

Cell: 9.166 9.166 3.359 Å, 90.00 90.00 90.00°
Sites, in units of the cell vectors:
W: 0.311 0.429 0.000
Ga: 0.089 0.811 0.000
Ga: 0.311 0.885 0.500
W: 0.405 0.167 0.500
W: 0.571 0.311 0.000
W: 0.429 0.689 0.000
Ga: 0.811 0.911 0.000
W: 0.833 0.405 0.500
Ga: 0.115 0.311 0.500
W: 0.595 0.833 0.500
Ga: 0.911 0.189 0.000
Ga: 0.885 0.689 0.500
W: 0.167 0.595 0.500
Ga: 0.189 0.089 0.000
W: 0.689 0.571 0.000
Ga: 0.689 0.115 0.500

Output
DFT total energy: -7.525 eV/atom
total magnetic moment: 0.000 μB/f.u.
formation energy from the elements: 0.465 eV per atom


DFT (PBE) results for a relaxed structure of SrBr.

Cell: 4.092 7.772 9.584 Å, 90.00 90.00 90.00°
Sites, in units of the cell vectors:
Br: 0.750 0.879 0.148
Sr: 0.250 0.793 0.408
Sr: 0.250 0.707 0.908
Br: 0.750 0.621 0.648
Sr: 0.750 0.293 0.092
Br: 0.250 0.121 0.852
Br: 0.250 0.379 0.352
Sr: 0.750 0.207 0.592

Output
DFT total energy: -3.059 eV/atom
ΔE_f (raw): -2.763 eV per formula unit
total magnetic moment: 0.000 μB/f.u.